Record 1
DFT (PBE) results for a relaxed structure of Rb2NaMg2.

Properties
The calculation puts the electronic total energy at -1.005 eV per atom. As for the volume: 50.08 A^3/atom. The value obtained for the formation energy is 283 meV/atom.

```
10
Lattice="11.277 0.000 0.000 0.000 11.277 0.000 0.000 0.000 3.938" Properties=species:S:1:pos:R:3 pbc="T T T"
Rb 2.142 3.497 0.000
Rb 3.497 9.135 0.000
Rb 7.780 2.142 0.000
Rb 9.135 7.780 0.000
Na 0.000 0.000 0.000
Na 5.638 5.638 0.000
Mg 1.095 6.734 1.969
Mg 4.543 1.095 1.969
Mg 6.734 10.181 1.969
Mg 10.181 4.543 1.969
```


Record 2
DFT (PBE) results for a relaxed structure of RbNa2Mg.

Properties
The calculation puts the electronic total energy at -1.062 eV per atom. As for the volume: 47.29 A^3/atom. The value obtained for the formation energy is 238 meV/atom.

```
8
Lattice="-2.737 2.737 12.627 2.737 -2.737 12.627 2.737 2.737 -12.627" Properties=species:S:1:pos:R:3 pbc="T T T"
Rb 0.000 0.000 0.000
Rb 0.000 2.737 6.314
Na 1.368 -1.034 9.470
Na 1.703 1.368 3.157
Na 1.368 3.771 -3.157
Na 1.034 1.368 15.784
Mg 2.737 0.000 6.314
Mg 0.000 0.000 12.627
```


Record 3
DFT (PBE) results for a relaxed structure of RbNaMg6.

Properties
The calculation puts the electronic total energy at -1.279 eV per atom. As for the volume: 32.42 A^3/atom. The value obtained for the formation energy is 203 meV/atom.

```
8
Lattice="5.043 0.000 0.000 0.000 3.158 8.143 0.000 -3.158 8.143" Properties=species:S:1:pos:R:3 pbc="T T T"
Rb 0.000 0.000 0.000
Na 0.000 0.000 6.817
Mg 0.000 -1.541 11.719
Mg 0.000 1.541 11.719
Mg 2.521 -1.640 5.365
Mg 2.521 0.000 2.759
Mg 2.521 1.640 5.365
Mg 2.521 0.000 10.421
```


Record 4
DFT (PBE) results for a relaxed structure of Rb2NaMg.

Properties
The calculation puts the electronic total energy at -1.041 eV per atom. As for the volume: 54.44 A^3/atom. The value obtained for the formation energy is 171 meV/atom.

```
4
Lattice="6.465 0.000 0.000 0.000 6.465 0.000 0.000 0.000 5.209" Properties=species:S:1:pos:R:3 pbc="T T T"
Rb 0.000 3.233 0.000
Rb 3.233 0.000 0.000
Na 0.000 0.000 2.605
Mg 3.233 3.233 2.605
```


Record 5
DFT (PBE) results for a relaxed structure of RbNaMg14.

Properties
The calculation puts the electronic total energy at -1.393 eV per atom. As for the volume: 25.86 A^3/atom. The value obtained for the formation energy is 145 meV/atom.

```
16
Lattice="6.643 0.000 0.000 -3.322 5.753 0.000 0.000 0.000 10.826" Properties=species:S:1:pos:R:3 pbc="T T T"
Rb 0.000 0.000 0.000
Na 0.000 0.000 5.413
Mg -1.619 2.901 0.000
Mg 0.000 1.994 2.828
Mg 0.000 1.994 7.998
Mg -1.595 4.756 2.828
Mg -1.595 4.756 7.998
Mg 1.619 2.901 0.000
Mg 0.000 5.705 0.000
Mg 3.322 0.012 5.413
Mg 1.671 2.871 5.413
Mg 1.595 4.756 2.828
Mg 1.595 4.756 7.998
Mg 3.322 1.918 2.649
Mg 3.322 1.918 8.177
Mg 4.972 2.871 5.413
```


Record 6
DFT (PBE) results for a relaxed structure of RbNaMg14.

Properties
The calculation puts the electronic total energy at -1.407 eV per atom. As for the volume: 25.70 A^3/atom. The value obtained for the formation energy is 131 meV/atom.

```
16
Lattice="10.966 0.000 0.000 0.000 3.191 5.875 0.000 -3.191 5.875" Properties=species:S:1:pos:R:3 pbc="T T T"
Rb 0.000 0.000 0.000
Na 0.000 0.000 5.859
Mg 0.000 -1.574 2.942
Mg 0.000 1.574 2.942
Mg 2.724 0.000 7.845
Mg 2.879 0.000 2.004
Mg 2.971 -1.578 4.840
Mg 2.971 1.578 4.840
Mg 5.483 0.000 0.054
Mg 5.483 -1.583 8.805
Mg 5.483 0.000 5.948
Mg 5.483 1.583 8.805
Mg 7.995 -1.578 4.840
Mg 7.995 1.578 4.840
Mg 8.087 0.000 2.004
Mg 8.243 0.000 7.845
```


Record 7
DFT (PBE) results for a relaxed structure of RbNa2Mg.

Properties
The calculation puts the electronic total energy at -0.998 eV per atom. As for the volume: 45.27 A^3/atom. The value obtained for the formation energy is 302 meV/atom.

```
4
Lattice="1.927 1.113 14.077 -1.927 1.113 14.077 0.000 -2.225 14.077" Properties=species:S:1:pos:R:3 pbc="T T T"
Rb 0.000 0.000 0.000
Na 0.000 0.000 17.817
Na 0.000 0.000 24.413
Mg 0.000 0.000 21.115
```


Record 8
DFT (PBE) results for a relaxed structure of RbNa2Mg.

Properties
The calculation puts the electronic total energy at -1.121 eV per atom. As for the volume: 43.56 A^3/atom. The value obtained for the formation energy is 179 meV/atom.

```
4
Lattice="5.578 0.000 0.000 0.000 5.578 0.000 0.000 0.000 5.600" Properties=species:S:1:pos:R:3 pbc="T T T"
Rb 0.000 0.000 0.000
Na 0.000 2.789 2.800
Na 2.789 0.000 2.800
Mg 2.789 2.789 0.000
```


Record 9
DFT (PBE) results for a relaxed structure of Rb2Na16Mg.

Properties
The calculation puts the electronic total energy at -1.258 eV per atom. As for the volume: 41.69 A^3/atom. The value obtained for the formation energy is 38 meV/atom.

```
19
Lattice="6.137 3.543 6.071 -6.137 3.543 6.071 0.000 -7.087 6.071" Properties=species:S:1:pos:R:3 pbc="T T T"
Rb 0.000 0.000 0.000
Rb 0.000 0.000 5.851
Na 0.000 -3.581 3.179
Na -3.101 1.790 3.179
Na -2.972 -1.716 8.935
Na 0.000 -3.398 8.616
Na -2.943 1.699 8.616
Na -1.735 -3.018 11.954
Na -3.481 0.006 11.954
Na 3.101 1.790 3.179
Na 2.972 -1.716 8.935
Na 0.000 3.431 8.935
Na 1.735 -3.018 11.954
Na -1.746 3.012 11.954
Na 0.000 0.000 13.690
Na 2.943 1.699 8.616
Na 3.481 0.006 11.954
Na 1.746 3.012 11.954
Mg 0.000 0.000 10.298
```


Record 10
DFT (PBE) results for a relaxed structure of Rb2NaMg2.

Properties
The calculation puts the electronic total energy at -0.932 eV per atom. As for the volume: 54.41 A^3/atom. The value obtained for the formation energy is 357 meV/atom.

```
5
Lattice="-2.880 2.880 8.199 2.880 -2.880 8.199 2.880 2.880 -8.199" Properties=species:S:1:pos:R:3 pbc="T T T"
Rb 2.880 0.000 4.100
Rb 0.000 2.880 4.100
Na 0.000 0.000 0.000
Mg 0.000 0.000 6.743
Mg 0.000 0.000 9.655
```


Record 11
DFT (PBE) results for a relaxed structure of RbNa2Mg.

Properties
The calculation puts the electronic total energy at -1.143 eV per atom. As for the volume: 47.28 A^3/atom. The value obtained for the formation energy is 157 meV/atom.

```
4
Lattice="2.905 1.677 6.469 -2.905 1.677 6.469 0.000 -3.355 6.469" Properties=species:S:1:pos:R:3 pbc="T T T"
Rb 0.000 0.000 0.000
Na 0.000 0.000 3.949
Na 0.000 0.000 9.366
Mg 0.000 0.000 15.415
```


Record 12
DFT (PBE) results for a relaxed structure of RbNa2Mg2.

Properties
The calculation puts the electronic total energy at -1.212 eV per atom. As for the volume: 36.84 A^3/atom. The value obtained for the formation energy is 147 meV/atom.

```
10
Lattice="10.143 0.000 0.000 0.000 10.143 0.000 0.000 0.000 3.580" Properties=species:S:1:pos:R:3 pbc="T T T"
Rb 0.000 0.000 0.000
Rb 5.071 5.071 0.000
Na 1.800 3.272 1.790
Na 3.272 8.343 1.790
Na 6.871 1.800 1.790
Na 8.343 6.871 1.790
Mg 1.119 6.191 0.000
Mg 3.952 1.119 0.000
Mg 6.191 9.024 0.000
Mg 9.024 3.952 0.000
```


Record 13
DFT (PBE) results for a relaxed structure of RbNaMg2.

Properties
The calculation puts the electronic total energy at -1.087 eV per atom. As for the volume: 39.03 A^3/atom. The value obtained for the formation energy is 282 meV/atom.

```
4
Lattice="0.000 4.274 4.274 4.274 0.000 4.274 4.274 4.274 0.000" Properties=species:S:1:pos:R:3 pbc="T T T"
Rb 0.000 0.000 0.000
Na 4.274 4.274 4.274
Mg 2.137 2.137 2.137
Mg 6.411 6.411 6.411
```


Record 14
DFT (PBE) results for a relaxed structure of RbNaMg2.

Properties
The calculation puts the electronic total energy at -1.041 eV per atom. As for the volume: 49.84 A^3/atom. The value obtained for the formation energy is 328 meV/atom.

```
8
Lattice="-2.900 2.900 11.852 2.900 -2.900 11.852 2.900 2.900 -11.852" Properties=species:S:1:pos:R:3 pbc="T T T"
Rb 0.000 0.000 0.000
Rb 0.000 2.900 5.926
Na 2.900 0.000 5.926
Na 0.000 0.000 11.852
Mg 1.450 -0.034 8.889
Mg 2.867 1.450 2.963
Mg 1.450 2.934 -2.963
Mg 0.034 1.450 14.815
```


Record 15
DFT (PBE) results for a relaxed structure of Rb2NaMg2.

Properties
The calculation puts the electronic total energy at -1.077 eV per atom. As for the volume: 49.11 A^3/atom. The value obtained for the formation energy is 212 meV/atom.

```
10
Lattice="8.981 0.000 0.000 0.000 8.981 0.000 0.000 0.000 6.088" Properties=species:S:1:pos:R:3 pbc="T T T"
Rb 1.583 2.907 0.000
Rb 2.907 7.398 0.000
Rb 6.074 1.583 0.000
Rb 7.398 6.074 0.000
Na 0.000 0.000 3.044
Na 4.491 4.491 3.044
Mg 1.111 5.601 3.044
Mg 3.380 1.111 3.044
Mg 5.601 7.871 3.044
Mg 7.871 3.380 3.044
```


Record 16
DFT (PBE) results for a relaxed structure of RbNa2Mg2.

Properties
The calculation puts the electronic total energy at -1.155 eV per atom. As for the volume: 41.57 A^3/atom. The value obtained for the formation energy is 204 meV/atom.

```
5
Lattice="-2.638 2.638 7.466 2.638 -2.638 7.466 2.638 2.638 -7.466" Properties=species:S:1:pos:R:3 pbc="T T T"
Rb 0.000 0.000 0.000
Na 2.638 0.000 3.733
Na 0.000 2.638 3.733
Mg 0.000 0.000 5.940
Mg 0.000 0.000 8.993
```


Record 17
DFT (PBE) results for a relaxed structure of Rb2NaMg.

Properties
The calculation puts the electronic total energy at -0.960 eV per atom. As for the volume: 57.42 A^3/atom. The value obtained for the formation energy is 252 meV/atom.

```
8
Lattice="-5.387 5.387 3.958 5.387 -5.387 3.958 5.387 5.387 -3.958" Properties=species:S:1:pos:R:3 pbc="T T T"
Rb 8.080 2.589 -0.989
Rb 2.589 2.693 0.989
Rb -2.693 2.797 2.968
Rb 2.797 2.693 4.947
Na 5.387 0.000 1.979
Na 0.000 0.000 3.958
Mg 0.000 0.000 0.000
Mg 0.000 5.387 1.979
```


Record 18
DFT (PBE) results for a relaxed structure of Rb2NaMg.

Properties
The calculation puts the electronic total energy at -0.893 eV per atom. As for the volume: 58.35 A^3/atom. The value obtained for the formation energy is 319 meV/atom.

```
4
Lattice="2.146 1.239 14.629 -2.146 1.239 14.629 0.000 -2.478 14.629" Properties=species:S:1:pos:R:3 pbc="T T T"
Rb 0.000 0.000 3.795
Rb 0.000 0.000 40.092
Na 0.000 0.000 21.943
Mg 0.000 0.000 0.000
```


Record 19
DFT (PBE) results for a relaxed structure of RbNa2MgS.

Properties
The calculation puts the electronic total energy at -1.560 eV per atom. As for the volume: 42.37 A^3/atom. Its raw formation energy is 1.5 eV per formula unit.

```
5
Lattice="5.669 0.000 0.000 0.000 5.669 0.000 0.000 0.000 6.591" Properties=species:S:1:pos:R:3 pbc="T T T"
Rb 0.000 0.000 0.000
Na 0.000 2.835 3.295
Na 2.835 0.000 3.295
Mg 0.000 0.000 3.295
S 2.835 2.835 0.000
```


Record 20
DFT (PBE) results for a relaxed structure of RbNaMgSn.

Properties
The calculation puts the electronic total energy at -2.023 eV per atom. As for the volume: 29.92 A^3/atom. The value obtained for the formation energy is -52 meV/atom.

```
4
Lattice="0.000 3.911 3.911 3.911 0.000 3.911 3.911 3.911 0.000" Properties=species:S:1:pos:R:3 pbc="T T T"
Rb 0.000 0.000 0.000
Na 5.867 5.867 5.867
Mg 1.956 1.956 1.956
Sn 3.911 3.911 3.911
```